No. 1
VASP calculation (SCAN) on a crystal of BiPt relaxed with PBEsol.

Unit cell a=4.362 b=4.362 c=5.479 alpha=90.00 beta=90.00 gamma=120.00
Sites, in units of the cell vectors:
Bi 0.333 0.667 0.750
Bi 0.667 0.333 0.250
Pt 0.000 0.000 0.500
Pt 0.000 0.000 0.000

## Properties
* E_form: -0.26 eV per atom
* SG: No. 194
* mass density: 14.86 g cm⁻³
* density of states at the Fermi level: 0.48 states/eV/atom



No. 2
VASP calculation (SCAN) on a crystal of LiSi6Bi9O26 relaxed with PBEsol.

Unit cell a=7.000 b=9.567 c=9.567 alpha=120.00 beta=90.00 gamma=90.00
Sites, in units of the cell vectors:
O 0.435 0.089 0.335
Bi 0.009 0.667 0.333
O 0.255 0.677 0.506
O 0.937 0.744 0.100
Bi 0.511 0.333 0.667
O 0.733 0.604 0.473
Si 0.256 0.602 0.624
Si 0.749 0.408 0.376
O 0.279 0.000 0.000
O 0.435 0.246 0.911
O 0.435 0.665 0.754
O 0.733 0.527 0.131
O 0.794 0.000 0.000
Bi 0.757 0.770 0.758
Si 0.749 0.624 0.032
Si 0.749 0.968 0.592
O 0.268 0.473 0.875
Bi 0.263 0.233 0.239
O 0.579 0.931 0.689
Si 0.256 0.376 0.978
Li 0.462 0.667 0.333
O 0.268 0.125 0.598
Bi 0.263 0.005 0.767
Si 0.256 0.022 0.398
O 0.069 0.254 0.903
O 0.069 0.097 0.352
Bi 0.757 0.242 0.012
O 0.937 0.900 0.644
O 0.579 0.311 0.243
Bi 0.002 0.333 0.667
O 0.255 0.829 0.323
O 0.268 0.402 0.527
O 0.937 0.356 0.256
O 0.733 0.869 0.396
O 0.579 0.757 0.069
O 0.069 0.648 0.746
O 0.759 0.497 0.836
Bi 0.263 0.761 0.995
Bi 0.757 0.988 0.230
O 0.255 0.494 0.171
O 0.759 0.164 0.661
O 0.759 0.339 0.503

## Properties
* energy above the most stable polymorph in this dataset: 11.3 meV per atom
* SG: No. 143
* mass density: 7.40 g cm⁻³
* density of states at the Fermi level: 0.00 states/eV/atom



No. 3
VASP calculation (SCAN) on a crystal of BaCa2Al relaxed with PBEsol.

Unit cell a=5.777 b=5.777 c=5.777 alpha=90.07 beta=119.96 gamma=119.96
Sites, in units of the cell vectors:
Ba 0.500 0.750 0.250
Ca 0.500 0.250 0.750
Al 0.000 0.500 0.500
Ca 0.000 0.000 0.000

## Properties
* E_form: 0.02 eV per atom
* SG: No. 119
* mass density: 2.98 g cm⁻³
* density of states at the Fermi level: 0.79 states/eV/atom



No. 4
VASP calculation (SCAN) on a crystal of CrSb3P6O24 relaxed with PBEsol.

Unit cell a=8.292 b=8.292 c=8.857 alpha=62.09 beta=62.09 gamma=60.00
Site moments in Bohr magnetons follow the coordinates.
Sites, in units of the cell vectors:
O 0.162 0.215 0.098  0.00
O 0.525 0.162 0.098  0.00
O 0.179 0.539 0.793  0.00
Sb 0.649 0.649 0.053  0.00
O 0.253 0.123 0.737  0.00
O 0.839 0.784 0.905  0.00
P 0.960 0.246 0.249  0.00
P 0.755 0.464 0.747  0.00
O 0.808 0.615 0.573  0.01
O 0.784 0.472 0.905  0.00
O 0.488 0.179 0.793  0.00
O 0.378 0.985 0.426  0.00
O 0.211 0.378 0.426  0.00
O 0.123 0.887 0.737  0.00
O 0.003 0.808 0.573  0.01
O 0.111 0.743 0.271  0.01
P 0.545 0.960 0.249  0.00
O 0.215 0.525 0.098  0.00
O 0.985 0.211 0.426  0.00
Cr 0.858 0.858 0.427  2.78
P 0.464 0.034 0.747  0.00
O 0.875 0.111 0.271  0.01
O 0.823 0.464 0.203  0.00
O 0.539 0.488 0.793  0.00
O 0.615 0.003 0.573  0.01
P 0.246 0.545 0.249  0.00
O 0.510 0.823 0.203  0.00
O 0.887 0.253 0.737  0.00
P 0.034 0.755 0.747  0.00
O 0.472 0.839 0.905  0.00
Sb 0.351 0.351 0.947  0.01
Sb 0.143 0.143 0.571  0.00
O 0.743 0.875 0.271  0.01
O 0.464 0.510 0.203  0.00

## Properties
* VASP energy: -12.227 eV/atom
* SG: No. 146
* mass density: 3.69 g cm⁻³
* density of states at the Fermi level: 0.00 states/eV/atom



No. 5
VASP calculation (SCAN) on a crystal of MgTeAs2 relaxed with PBEsol.

Unit cell a=3.978 b=4.977 c=5.005 alpha=110.36 beta=90.00 gamma=90.00
Sites, in units of the cell vectors:
Te 0.500 0.235 0.740
Mg 0.000 0.509 0.486
As 0.000 0.972 0.024
As 0.500 0.784 0.249

## Properties
* energy above the most stable polymorph in this dataset: 0.0 meV per atom
* SG: No. 6
* mass density: 5.39 g cm⁻³
* density of states at the Fermi level: 0.16 states/eV/atom



No. 6
VASP calculation (SCAN) on a crystal of KWSe relaxed with PBEsol.

Unit cell a=2.783 b=5.022 c=5.022 alpha=120.00 beta=90.00 gamma=90.00
Site moments in Bohr magnetons follow the coordinates.
Sites, in units of the cell vectors:
Se 0.000 0.333 0.667  -0.04
W 0.000 0.667 0.333  1.34
K 0.500 0.000 0.000  0.07

## Properties
* VASP energy: -31.489 eV/atom
* SG: No. 187
* mass density: 8.25 g cm⁻³
* density of states at the Fermi level: 0.62 states/eV/atom



No. 7
VASP calculation (SCAN) on a crystal of CoMoSe2 relaxed with PBEsol.

Unit cell a=2.872 b=4.943 c=4.943 alpha=105.03 beta=103.99 gamma=103.99
Site moments in Bohr magnetons follow the coordinates.
Sites, in units of the cell vectors:
Se 0.000 0.500 0.000  0.01
Se 0.000 0.000 0.500  0.01
Co 0.000 0.500 0.500  1.71
Mo 0.000 0.000 0.000  -0.72

## Properties
* energy above the most stable polymorph in this dataset: 298.1 meV per atom
* SG: No. 12
* mass density: 8.35 g cm⁻³
* density of states at the Fermi level: 0.76 states/eV/atom



No. 8
VASP calculation (SCAN) on a crystal of CrOs2Rh relaxed with PBEsol.

Unit cell a=2.652 b=3.727 c=5.359 alpha=90.00 beta=90.00 gamma=90.00
Sites, in units of the cell vectors:
Os 0.000 0.000 0.735
Os 0.000 0.000 0.265
Rh 0.500 0.500 0.000
Cr 0.500 0.500 0.500

## Properties
* E_form: 0.09 eV per atom
* energy above the most stable polymorph in this dataset: 95.1 meV per atom
* SG: No. 47
* mass density: 16.78 g cm⁻³
* density of states at the Fermi level: 0.96 states/eV/atom



No. 9
VASP calculation (SCAN) on a crystal of MnNO2F relaxed with PBEsol.

Unit cell a=3.484 b=3.484 c=3.781 alpha=90.00 beta=90.00 gamma=90.00
Site moments in Bohr magnetons follow the coordinates.
Sites, in units of the cell vectors:
O 0.500 0.000 0.000  0.36
O 0.000 0.500 0.000  0.36
Mn 0.000 0.000 0.000  -1.54
N 0.000 0.000 0.500  1.18
F 0.500 0.500 0.500  0.43

## Properties
* VASP energy: -8.841 eV/atom
* SG: No. 123
* mass density: 4.34 g cm⁻³
* density of states at the Fermi level: 0.50 states/eV/atom



No. 10
VASP calculation (SCAN) on a crystal of LiP3N relaxed with PBEsol.

Unit cell a=4.054 b=4.054 c=4.054 alpha=90.00 beta=90.00 gamma=90.00
Sites, in units of the cell vectors:
N 0.000 0.000 0.000
P 0.000 0.000 0.500
P 0.000 0.500 0.000
P 0.500 0.000 0.000
Li 0.500 0.500 0.500

## Properties
* VASP energy: -7.805 eV/atom
* SG: No. 221
* mass density: 2.84 g cm⁻³
* density of states at the Fermi level: 0.58 states/eV/atom



No. 11
VASP calculation (SCAN) on a crystal of ZnSnP2O7 relaxed with PBEsol.

Unit cell a=6.882 b=6.899 c=7.183 alpha=68.97 beta=83.39 gamma=73.52
Sites, in units of the cell vectors:
Sn 0.717 0.723 0.109
Sn 0.283 0.277 0.891
P 0.180 0.806 0.205
O 0.337 0.187 0.542
O 0.599 0.296 0.273
O 0.401 0.704 0.727
P 0.627 0.666 0.670
O 0.308 0.574 0.343
O 0.972 0.223 0.911
O 0.663 0.813 0.458
O 0.028 0.777 0.089
P 0.820 0.194 0.795
O 0.238 0.324 0.182
O 0.663 0.081 0.923
O 0.919 0.085 0.638
Zn 0.792 0.042 0.422
O 0.692 0.426 0.657
O 0.081 0.915 0.362
O 0.337 0.919 0.077
P 0.373 0.334 0.330
O 0.762 0.676 0.818
Zn 0.208 0.958 0.578

## Properties
* energy above the most stable polymorph in this dataset: 8.5 meV per atom
* SG: No. 2
* mass density: 3.90 g cm⁻³
* density of states at the Fermi level: 0.00 states/eV/atom



No. 12
VASP calculation (SCAN) on a crystal of BaWO4 relaxed with PBEsol.

Unit cell a=7.122 b=7.502 c=13.219 alpha=85.99 beta=90.00 gamma=90.00
Sites, in units of the cell vectors:
Ba 0.940 0.358 0.147
W 0.948 0.159 0.418
O 0.368 0.809 0.026
O 0.362 0.475 0.947
O 0.924 0.049 0.074
O 0.228 0.674 0.546
O 0.477 0.210 0.614
O 0.813 0.044 0.330
O 0.253 0.940 0.206
O 0.728 0.826 0.954
O 0.247 0.440 0.706
W 0.052 0.841 0.582
W 0.841 0.091 0.920
O 0.747 0.060 0.794
O 0.313 0.456 0.170
O 0.576 0.549 0.574
O 0.632 0.191 0.974
W 0.341 0.409 0.580
W 0.552 0.659 0.918
O 0.411 0.794 0.828
Ba 0.843 0.340 0.660
O 0.862 0.025 0.553
O 0.089 0.294 0.328
O 0.753 0.560 0.294
O 0.911 0.706 0.672
O 0.138 0.975 0.447
O 0.523 0.790 0.386
O 0.772 0.326 0.454
W 0.448 0.341 0.082
W 0.159 0.909 0.080
O 0.076 0.951 0.926
O 0.589 0.206 0.172
Ba 0.560 0.858 0.647
Ba 0.440 0.142 0.353
Ba 0.657 0.840 0.160
Ba 0.343 0.160 0.840
O 0.638 0.525 0.053
O 0.187 0.956 0.670
O 0.023 0.710 0.114
O 0.977 0.290 0.886
O 0.272 0.174 0.046
O 0.868 0.691 0.474
O 0.132 0.309 0.526
Ba 0.060 0.642 0.853
O 0.424 0.451 0.426
W 0.659 0.591 0.420
Ba 0.157 0.660 0.340
O 0.687 0.544 0.830

## Properties
* energy above the most stable polymorph in this dataset: 41.4 meV per atom
* SG: No. 14
* mass density: 7.26 g cm⁻³
* density of states at the Fermi level: 0.00 states/eV/atom



Question: Which of these has the highest density of states at the Fermi level?
Answer: CrOs2Rh